[1]
A plane-wave DFT calculation with PBE-GGA was carried out for CoSnS after structural relaxation.

## Properties
- Magnetic moment: 0.000 μB/atom
- DOS(E_F): 3.73 states/eV/cell
- Energy: -5.421 eV/atom
- Formation energy (no corrections): -342 meV/atom

Lattice parameters (Å, degrees): 3.3445 5.1156 7.8518 130.65 90.00 90.00
Last column: nearest neighbours and their distance in Å.
Atoms (fractional coordinates):
Co  0.1457  0.7307  0.4015  3 S 2.22-2.25
Co  0.6457  0.6064  0.9016  3 S 2.22-2.25
S  0.6457  0.1068  0.5443  3 Co 2.22-2.25
S  0.1457  0.5158  0.0443  3 Co 2.22-2.25
Sn  0.6459  0.2325  0.2663  3 Co 2.55-2.63, 1 S 2.65
Sn  0.1460  0.8340  0.7663  3 Co 2.55-2.63, 1 S 2.65

[2]
A plane-wave DFT calculation with PBE-GGA was carried out for Co4SnS8 after structural relaxation.

## Properties
- Magnetic moment: 0.000 μB/atom
- DOS(E_F): 4.69 states/eV/cell
- Energy: -5.399 eV/atom
- Formation energy (no corrections): -364 meV/atom

Lattice parameters (Å, degrees): 6.9379 6.9379 6.9379 60.00 60.00 60.00
Last column: nearest neighbours and their distance in Å.
Atoms (fractional coordinates):
S  0.1444  0.5667  0.1444  3 Co 2.22
S  0.6056  0.1833  0.6056  3 Co 2.34, 1 Sn 2.45
S  0.5667  0.1444  0.1444  3 Co 2.22
S  0.1444  0.1444  0.1444  3 Co 2.22
S  0.1833  0.6056  0.6056  3 Co 2.34, 1 Sn 2.45
S  0.6056  0.6056  0.1833  3 Co 2.34, 1 Sn 2.45
S  0.6056  0.6056  0.6056  3 Co 2.34, 1 Sn 2.45
S  0.1444  0.1444  0.5667  3 Co 2.22
Sn  0.7500  0.7500  0.7500  4 S 2.45
Co  0.3694  0.8918  0.3694  6 S 2.22-2.34
Co  0.3694  0.3694  0.8918  6 S 2.22-2.34
Co  0.3694  0.3694  0.3694  6 S 2.22-2.34
Co  0.8918  0.3694  0.3694  6 S 2.22-2.34

[3]
A plane-wave DFT calculation with PBE-GGA was carried out for CoSnS2 after structural relaxation.

## Properties
- Magnetic moment: 0.387 μB/atom
- DOS(E_F): 4.66 states/eV/cell
- Energy: -4.753 eV/atom
- Formation energy (no corrections): 88 meV/atom

Lattice parameters (Å, degrees): 7.5628 7.5628 7.5628 29.71 29.71 29.71
Last column: nearest neighbours and their distance in Å.
Atoms (fractional coordinates):
S  0.9027  0.9027  0.9027  1 Co 2.11
S  0.0973  0.0973  0.0973  1 Co 2.11
Sn  0.5000  0.5000  0.5000  6 S 2.70
Co  0.0000  0.0000  0.0000  2 S 2.11

[4]
A plane-wave DFT calculation with PBE-GGA was carried out for CoSn2S after structural relaxation.

## Properties
- Magnetic moment: 0.000 μB/atom
- DOS(E_F): 9.82 states/eV/cell
- Energy: -4.897 eV/atom
- Formation energy (no corrections): -87 meV/atom

Lattice parameters (Å, degrees): 5.6187 6.0799 9.7022 84.29 90.00 90.00
Last column: nearest neighbours and their distance in Å.
Atoms (fractional coordinates):
Sn  0.7533  0.4078  0.0677  2 Co 2.63-2.74
Sn  0.2633  0.5703  0.5577  2 Co 2.62-2.73
Sn  0.7367  0.4297  0.4423  2 Co 2.62-2.73
Sn  0.2367  0.0703  0.0577  2 Co 2.62-2.73
Sn  0.7467  0.9078  0.5677  2 Co 2.63-2.74
Sn  0.2467  0.5922  0.9323  2 Co 2.63-2.74
Sn  0.7633  0.9297  0.9423  2 Co 2.62-2.73
Sn  0.2533  0.0922  0.4323  2 Co 2.63-2.74
S  0.2175  0.5333  0.2568  2 Co 2.14-2.18
S  0.7825  0.4667  0.7432  2 Co 2.14-2.18
S  0.2825  0.0333  0.7568  2 Co 2.14-2.18
S  0.7175  0.9667  0.2432  2 Co 2.14-2.18
Co  0.5072  0.2714  0.8482  2 S 2.14-2.18
Co  0.9928  0.7714  0.3482  2 S 2.14-2.18
Co  0.0072  0.2286  0.6518  2 S 2.14-2.18
Co  0.4928  0.7286  0.1518  2 S 2.14-2.18

[5]
A plane-wave DFT calculation with PBE-GGA was carried out for Sr2CoSnS after structural relaxation.

## Properties
- Magnetic moment: 0.351 μB/atom
- DOS(E_F): 3.21 states/eV/cell
- Energy: -4.363 eV/atom
- Distance to the lowest polymorph of the same formula: 0.0 meV/atom
- Formation energy (no corrections): -643 meV/atom

Lattice parameters (Å, degrees): 5.8557 4.1642 5.8557 90.00 90.00 90.00
Last column: nearest neighbours and their distance in Å.
Atoms (fractional coordinates):
Sn  0.5000  0.5000  0.5000  8 Sr 3.59
Sr  0.0000  0.0000  0.5000  2 S 2.93
Sr  0.5000  0.0000  0.0000  2 S 2.93
S  0.0000  0.0000  0.0000  2 Co 2.08
Co  0.0000  0.5000  0.0000  2 S 2.08

[6]
A plane-wave DFT calculation with PBE-GGA was carried out for Sr2CoSnS after structural relaxation.

## Properties
- Magnetic moment: 0.307 μB/atom
- DOS(E_F): 4.24 states/eV/cell
- Energy: -3.759 eV/atom
- Distance to the lowest polymorph of the same formula: 603.5 meV/atom
- Formation energy (no corrections): -39 meV/atom

Lattice parameters (Å, degrees): 5.5969 5.3292 5.5969 90.00 90.00 90.00
Last column: nearest neighbours and their distance in Å.
Atoms (fractional coordinates):
Sn  0.0000  0.5000  0.0000  2 S 2.66
S  0.0000  0.0000  0.0000  2 Sn 2.66, 4 Sr 2.80
Sr  0.0000  0.0000  0.5000  2 S 2.80
Sr  0.5000  0.0000  0.0000  2 S 2.80
Co  0.5000  0.5000  0.5000  8 Sr 3.86, 4 Sn 3.96

[7]
A plane-wave DFT calculation with PBE-GGA was carried out for SrCo3S after structural relaxation.

## Properties
- Magnetic moment: 0.608 μB/atom
- DOS(E_F): 3.16 states/eV/cell
- Energy: -5.378 eV/atom
- Distance to the lowest polymorph of the same formula: 0.0 meV/atom
- Formation energy (no corrections): 48 meV/atom

Lattice parameters (Å, degrees): 4.3177 4.3177 4.3177 90.00 90.00 90.00
Last column: nearest neighbours and their distance in Å.
Atoms (fractional coordinates):
Co  0.0000  0.0000  0.5000  2 S 2.16
Co  0.0000  0.5000  0.0000  2 S 2.16
Co  0.5000  0.0000  0.0000  2 S 2.16
S  0.0000  0.0000  0.0000  6 Co 2.16
Sr  0.5000  0.5000  0.5000  12 Co 3.05

[8]
A plane-wave DFT calculation with PBE-GGA was carried out for SrCo2S after structural relaxation.

## Properties
- Magnetic moment: 0.359 μB/atom
- DOS(E_F): 5.28 states/eV/cell
- Energy: -5.340 eV/atom
- Formation energy (no corrections): -335 meV/atom

Lattice parameters (Å, degrees): 4.6557 4.6557 7.9925 73.07 73.07 90.00
Last column: nearest neighbours and their distance in Å.
Atoms (fractional coordinates):
Co  0.3750  0.6250  0.2500  2 S 2.16, 2 Co 2.33
Co  0.3750  0.1250  0.2500  2 S 2.16, 2 Co 2.33
Co  0.3750  0.6250  0.7500  2 S 2.16, 2 Co 2.33
Co  0.8750  0.6250  0.7500  2 S 2.16, 2 Co 2.33
Sr  0.7500  0.2500  0.5000  8 Co 3.18, 4 S 3.29
Sr  0.0000  0.0000  0.0000  8 Co 3.18, 4 S 3.29
S  0.2500  0.7500  0.5000  4 Co 2.16
S  0.5000  0.5000  0.0000  4 Co 2.16

[9]
A plane-wave DFT calculation with PBE-GGA was carried out for Sr3CoS after structural relaxation.

## Properties
- Magnetic moment: 0.185 μB/atom
- DOS(E_F): 3.62 states/eV/cell
- Energy: -3.503 eV/atom
- Distance to the lowest polymorph of the same formula: 0.0 meV/atom
- Formation energy (no corrections): -247 meV/atom

Lattice parameters (Å, degrees): 5.7051 5.7051 5.7051 90.00 90.00 90.00
Last column: nearest neighbours and their distance in Å.
Atoms (fractional coordinates):
Sr  0.0000  0.0000  0.5000  2 S 2.85
Sr  0.5000  0.0000  0.0000  2 S 2.85
Sr  0.0000  0.5000  0.0000  2 S 2.85
Co  0.5000  0.5000  0.5000  12 Sr 4.03
S  0.0000  0.0000  0.0000  6 Sr 2.85

[10]
A plane-wave DFT calculation with PBE-GGA was carried out for Sr3Co5S12 after structural relaxation.

## Properties
- Magnetic moment: 0.343 μB/atom
- DOS(E_F): 72.07 states/eV/cell
- Energy: -5.151 eV/atom
- Formation energy (no corrections): -646 meV/atom

Lattice parameters (Å, degrees): 12.7593 12.7593 12.7593 109.47 109.47 109.47
Last column: nearest neighbours and their distance in Å.
Atoms (fractional coordinates):
Co  0.5000  0.5000  0.5000  6 S 2.31
Co  0.6250  0.7500  0.8750  4 S 2.15
Co  0.6250  0.8750  0.2500  4 S 2.15
Co  0.2500  0.8750  0.1250  4 S 2.15
Co  0.8750  0.2500  0.6250  4 S 2.15
Co  0.7500  0.1250  0.8750  4 S 2.15
Co  0.3750  0.1250  0.7500  4 S 2.15
Co  0.0000  0.5000  0.0000  6 S 2.31
Co  0.1250  0.3750  0.2500  4 S 2.15
Co  0.7500  0.6250  0.3750  4 S 2.15
Co  0.5000  0.0000  0.0000  6 S 2.31
Co  0.0000  0.0000  0.0000  6 S 2.31
Co  0.5000  0.0000  0.5000  6 S 2.31
Co  0.1250  0.7500  0.3750  4 S 2.15
Co  0.0000  0.0000  0.5000  6 S 2.31
Co  0.3750  0.2500  0.1250  4 S 2.15
Co  0.2500  0.3750  0.6250  4 S 2.15
Co  0.5000  0.5000  0.0000  6 S 2.31
Co  0.0000  0.5000  0.5000  6 S 2.31
Co  0.8750  0.6250  0.7500  4 S 2.15
S  0.6932  0.1023  0.0102  2 Co 2.15-2.31
S  0.1932  0.6830  0.0909  2 Co 2.15-2.31
S  0.5909  0.6932  0.6830  2 Co 2.15-2.31
S  0.4898  0.6830  0.0921  2 Co 2.15-2.31
S  0.3068  0.8977  0.9898  2 Co 2.15-2.31
S  0.4898  0.8068  0.8977  2 Co 2.15-2.31
S  0.4079  0.3977  0.5909  2 Co 2.15-2.31
S  0.3170  0.5102  0.4079  2 Co 2.15-2.31
S  0.5102  0.3170  0.9079  2 Co 2.15-2.31
S  0.8170  0.9091  0.3068  2 Co 2.15-2.31
S  0.5102  0.1932  0.1023  2 Co 2.15-2.31
S  0.9091  0.8170  0.8068  2 Co 2.15-2.31
S  0.4091  0.1023  0.5921  2 Co 2.15-2.31
S  0.6023  0.5921  0.9091  2 Co 2.15-2.31
S  0.3068  0.4091  0.8170  2 Co 2.15-2.31
S  0.4091  0.3068  0.3170  2 Co 2.15-2.31
S  0.9091  0.0921  0.6023  2 Co 2.15-2.31
S  0.9079  0.8170  0.5102  2 Co 2.15-2.31
S  0.9898  0.3977  0.3068  2 Co 2.15-2.31
S  0.0921  0.9091  0.1023  2 Co 2.15-2.31
S  0.0909  0.9079  0.3977  2 Co 2.15-2.31
S  0.9898  0.5921  0.1830  2 Co 2.15-2.31
S  0.1932  0.5102  0.6023  2 Co 2.15-2.31
S  0.1023  0.4091  0.0921  2 Co 2.15-2.31
S  0.0921  0.1830  0.4898  2 Co 2.15-2.31
S  0.5909  0.8977  0.4079  2 Co 2.15-2.31
S  0.4079  0.0102  0.3170  2 Co 2.15-2.31
S  0.6830  0.4898  0.5921  2 Co 2.15-2.31
S  0.6830  0.1932  0.5909  2 Co 2.15-2.31
S  0.3170  0.8068  0.4091  2 Co 2.15-2.31
S  0.3977  0.9898  0.8068  2 Co 2.15-2.31
S  0.0909  0.1830  0.1932  2 Co 2.15-2.31
S  0.8170  0.9079  0.0102  2 Co 2.15-2.31
S  0.1830  0.0921  0.9898  2 Co 2.15-2.31
S  0.9079  0.0909  0.8977  2 Co 2.15-2.31
S  0.8977  0.3068  0.4898  2 Co 2.15-2.31
S  0.8977  0.5909  0.9079  2 Co 2.15-2.31
S  0.5921  0.6023  0.4091  2 Co 2.15-2.31
S  0.8068  0.3170  0.9091  2 Co 2.15-2.31
S  0.3977  0.4079  0.0909  2 Co 2.15-2.31
S  0.6023  0.0102  0.1932  2 Co 2.15-2.31
S  0.1830  0.0909  0.6932  2 Co 2.15-2.31
S  0.6932  0.5909  0.1830  2 Co 2.15-2.31
S  0.0102  0.4079  0.8170  2 Co 2.15-2.31
S  0.8068  0.4898  0.3977  2 Co 2.15-2.31
S  0.5921  0.9898  0.6830  2 Co 2.15-2.31
S  0.1023  0.6932  0.5102  2 Co 2.15-2.31
S  0.0102  0.6023  0.6932  2 Co 2.15-2.31
Sr  0.7500  0.3750  0.1250  8 S 3.00-3.01
Sr  0.6250  0.2500  0.3750  8 S 3.00-3.01
Sr  0.8750  0.7500  0.1250  8 S 3.00-3.01
Sr  0.1250  0.2500  0.8750  8 S 3.00-3.01
Sr  0.3750  0.6250  0.2500  8 S 3.00-3.01
Sr  0.7500  0.8750  0.6250  8 S 3.00-3.01
Sr  0.8750  0.1250  0.2500  8 S 3.00-3.01
Sr  0.1250  0.8750  0.7500  8 S 3.00-3.01
Sr  0.2500  0.1250  0.3750  8 S 3.00-3.01
Sr  0.6250  0.3750  0.7500  8 S 3.00-3.01
Sr  0.2500  0.6250  0.8750  8 S 3.00-3.01
Sr  0.3750  0.7500  0.6250  8 S 3.00-3.01